The following is a PBE-GGA calculation of an optimized crystal structure of Sc2MnAsH, from the Alexandria database.

```
data_Sc2MnAsH
_cell_length_a 5.258
_cell_length_b 5.258
_cell_length_c 3.469
_cell_angle_alpha 90.00
_cell_angle_beta 90.00
_cell_angle_gamma 90.00
_space_group_name_H-M_alt 'P 1'
_space_group_IT_number 1
loop_
_space_group_symop_operation_xyz
'x,y,z'
loop_
_atom_site_label
_atom_site_fract_x
_atom_site_fract_y
_atom_site_fract_z
Sc1 0.000 0.500 0.000
Sc2 0.500 0.000 0.000
Mn1 0.000 0.000 0.500
As1 0.500 0.500 0.000
H1 0.500 0.500 0.500
```

Output
**DOS(E_F)**: 1.2492 states/eV per atom
**Uncorrected energy**: -0.2111 hartree per atom
**Space-group type**: P4/mmm (123)

***

The following is a PBE-GGA calculation of an optimized crystal structure of MnAs2HSe, from the Alexandria database.

```
data_MnAs2HSe
_cell_length_a 3.848
_cell_length_b 3.848
_cell_length_c 5.817
_cell_angle_alpha 90.00
_cell_angle_beta 90.00
_cell_angle_gamma 90.00
_space_group_name_H-M_alt 'P 1'
_space_group_IT_number 1
loop_
_space_group_symop_operation_xyz
'x,y,z'
loop_
_atom_site_label
_atom_site_fract_x
_atom_site_fract_y
_atom_site_fract_z
Mn1 0.000 0.000 0.000
As1 0.000 0.500 0.500
As2 0.500 0.000 0.500
H1 0.500 0.500 0.500
Se1 0.500 0.500 0.000
```

Output
**Offset from the most stable computed form**: 0 meV/atom
**DOS(E_F)**: 0.5137 states/eV per atom
**Uncorrected energy**: -0.1680 hartree per atom
**Space-group type**: P4/mmm (123)

***

The following is a PBE-GGA calculation of an optimized crystal structure of MnAs2HSe, from the Alexandria database.

```
data_MnAs2HSe
_cell_length_a 4.555
_cell_length_b 4.555
_cell_length_c 4.636
_cell_angle_alpha 90.00
_cell_angle_beta 90.00
_cell_angle_gamma 90.00
_space_group_name_H-M_alt 'P 1'
_space_group_IT_number 1
loop_
_space_group_symop_operation_xyz
'x,y,z'
loop_
_atom_site_label
_atom_site_fract_x
_atom_site_fract_y
_atom_site_fract_z
Mn1 0.000 0.000 0.000
As1 0.000 0.500 0.000
As2 0.500 0.000 0.000
H1 0.500 0.500 0.500
Se1 0.000 0.000 0.500
```

Output
**Offset from the most stable computed form**: 281 meV/atom
**DOS(E_F)**: 1.1262 states/eV per atom
**Uncorrected energy**: -0.1576 hartree per atom
**Space-group type**: P4/mmm (123)